# Ca6Ag5Au

Ca6Ag5Au after structural relaxation (PBE-GGA, Alexandria).

Values from the calculation:
Density of states at the Fermi level: 0.750 states/eV per atom
ΔH_f (0 K): -394 meV per atom
Size of the total moment: 0.00 μB per cell
Crystal system: monoclinic

Geometry as CIF:
```
data_Ca6Ag5Au
_space_group_name_H-M_alt 'P 1 2/m 1'
_space_group_IT_number 10
_cell_length_a 5.2089
_cell_length_b 7.4781
_cell_length_c 8.2006
_cell_angle_alpha 90.00
_cell_angle_beta 108.05
_cell_angle_gamma 90.00
loop_
_space_group_symop_operation_xyz
'x,y,z'
'-x,-y,-z'
'-x,y,-z'
'x,-y,z'
loop_
_atom_site_label
_atom_site_fract_x
_atom_site_fract_y
_atom_site_fract_z
Ca1 0.0000 0.2441 0.0000
Ca2 0.3358 0.2478 0.6718
Ag1 0.1668 0.5000 0.3340
Ag2 0.1721 0.0000 0.3434
Ag3 0.5000 0.5000 0.0000
Au1 0.5000 0.0000 0.0000
```